# AgIr2Cl

An optimized crystal structure of AgIr2Cl (PBE-GGA, Alexandria via LeMat-Bulk).

Results
Space group: Cmmm
Raw formation energy (eV/atom): 0.705
Magnetic moment (μB/f.u.): 0.000

a b c (Å): 2.875 2.875 9.108
angles (deg): 90.00 90.00 122.30
Sites, in units of the cell vectors:
Cl: 0.500 0.500 0.750
Ir: 0.000 0.000 0.516
Ir: 0.000 0.000 0.984
Ag: 0.500 0.500 0.250